This record from Alexandria via LeMat-Bulk describes Co2IrOs after structural relaxation. The functional is PBE.

Structure (POSCAR):
```
Co2IrOs
1.0
-1.5904 1.2682 -1.6809
-2.4152 0.4898 2.6547
2.3055 4.5569 1.2567
Co Ir Os
2 1 1
Direct
0.0000 0.0000 0.9942 Co
0.0000 0.0000 0.5058 Co
0.5000 0.5000 0.2500 Ir
0.5000 0.5000 0.7500 Os
```

- space group = Pmmm
- mass density (g cm⁻³) = 16.526
- distance to the lowest polymorph of the same formula (kJ/mol of atoms) = 4.6
- E_tot (eV per atom) = -8.47

***

This record from Alexandria via LeMat-Bulk describes CoIrOs4 after structural relaxation. The functional is PBE.

Structure (POSCAR):
```
CoIrOs4
1.0
-0.8204 1.7050 1.9757
-3.9248 0.1220 -1.7349
-1.5136 -6.3576 2.9773
Co Ir Os
1 1 4
Direct
0.3936 0.5027 0.0313 Co
0.6131 0.0027 0.4722 Ir
0.2847 0.0027 0.8173 Os
0.9441 0.0027 0.1335 Os
0.0563 0.5027 0.3569 Os
0.7272 0.5027 0.7001 Os
```

- space group = Pm
- mass density (g cm⁻³) = 20.293
- distance to the lowest polymorph of the same formula (kJ/mol of atoms) = 0.0
- E_tot (eV per atom) = -10.12

***

This record from Alexandria via LeMat-Bulk describes CoIr3Os after structural relaxation. The functional is PBE.

Structure (POSCAR):
```
CoIr3Os
1.0
-0.0520 -2.5973 -0.6908
5.8835 0.3268 3.5614
-4.2866 -1.8427 7.2506
Co Ir Os
2 6 2
Direct
0.9449 0.3900 0.2500 Co
0.0551 0.6100 0.7500 Co
0.8360 0.1725 0.0001 Ir
0.1640 0.8275 0.9999 Ir
0.8360 0.1725 0.4999 Ir
0.1640 0.8275 0.5001 Ir
0.5960 0.6914 0.2500 Ir
0.4040 0.3086 0.7500 Ir
0.2809 0.0623 0.2500 Os
0.7191 0.9377 0.7500 Os
```

- space group = Cmcm
- mass density (g cm⁻³) = 17.524
- distance to the lowest polymorph of the same formula (kJ/mol of atoms) = 37.1
- E_tot (eV per atom) = -8.56

***

This record from Alexandria via LeMat-Bulk describes CoIr4Os after structural relaxation. The functional is PBE.

Structure (POSCAR):
```
CoIr4Os
1.0
2.7165 0.0000 0.0000
0.0000 3.8181 -0.0002
0.0000 0.0008 8.0880
Co Ir Os
1 4 1
Direct
0.0000 0.5000 0.0000 Co
0.0000 0.5000 0.3307 Ir
0.5000 0.0001 0.1606 Ir
0.0000 0.5000 0.6693 Ir
0.5000 0.9999 0.8394 Ir
0.5000 0.0000 0.5000 Os
```

- space group = Pmmm
- mass density (g cm⁻³) = 20.152
- distance to the lowest polymorph of the same formula (kJ/mol of atoms) = 0.0
- E_tot (eV per atom) = -8.92

***

This record from Alexandria via LeMat-Bulk describes Co2Ir4Os after structural relaxation. The functional is PBE.

Structure (POSCAR):
```
Co2Ir4Os
1.0
7.3787 0.0000 0.0000
3.6893 3.7348 0.0000
3.6893 0.0000 3.7348
Co Ir Os
2 4 1
Direct
0.0000 0.5000 0.5000 Co
0.5000 0.5000 0.5000 Co
0.4999 0.5000 0.0003 Ir
0.9999 0.0003 0.5000 Ir
0.5001 0.9997 0.5000 Ir
0.0001 0.5000 0.9997 Ir
0.0000 0.0000 0.0000 Os
```

- space group = I4/mmm
- mass density (g cm⁻³) = 17.375
- distance to the lowest polymorph of the same formula (kJ/mol of atoms) = 27.1
- E_tot (eV per atom) = -8.38

***

This record from Alexandria via LeMat-Bulk describes Co2IrOs after structural relaxation. The functional is PBE.

Structure (POSCAR):
```
Co2IrOs
1.0
2.6825 0.0000 0.0000
0.0000 2.6825 0.0000
0.0000 0.0000 7.1057
Co Ir Os
2 1 1
Direct
0.0000 0.0000 0.0107 Co
0.5000 0.5000 0.2348 Co
0.0000 0.0000 0.4930 Ir
0.5000 0.5000 0.7615 Os
```

- space group = P4mm
- mass density (g cm⁻³) = 16.249
- distance to the lowest polymorph of the same formula (kJ/mol of atoms) = 4.4
- E_tot (eV per atom) = -8.47

***

This record from Alexandria via LeMat-Bulk describes Co2IrOs after structural relaxation. The functional is PBE.

Structure (POSCAR):
```
Co2IrOs
1.0
-1.6039 1.9904 -0.6305
-0.1601 -2.2082 -1.4248
-5.9896 -3.0943 5.4687
Co Ir Os
2 1 1
Direct
0.0000 0.0000 0.9988 Co
0.0000 0.0000 0.5012 Co
0.5000 0.5000 0.2500 Ir
0.5000 0.5000 0.7500 Os
```

- space group = Cmmm
- mass density (g cm⁻³) = 15.618
- distance to the lowest polymorph of the same formula (kJ/mol of atoms) = 28.3
- E_tot (eV per atom) = -8.22

***

This record from Alexandria via LeMat-Bulk describes Co2IrOs2 after structural relaxation. The functional is PBE.

Structure (POSCAR):
```
Co2IrOs2
1.0
-0.2329 -3.9803 2.4645
4.5899 -0.6799 -0.6642
0.8889 2.2961 3.7924
Co Ir Os
2 1 2
Direct
0.5000 0.5000 0.5000 Co
0.0000 0.0000 0.5000 Co
0.0000 0.0000 0.0000 Ir
0.0000 0.5000 0.0000 Os
0.5000 0.0000 0.0000 Os
```

- space group = P4/mmm
- mass density (g cm⁻³) = 11.543
- distance to the lowest polymorph of the same formula (kJ/mol of atoms) = 187.7
- E_tot (eV per atom) = -6.85